# PBE PbClO, relaxed
data_PbClO
_chemical_formula_sum 'Pb4 Cl4 O4'
_symmetry_space_group_name_H-M 'C 1 2/m 1'
_symmetry_Int_Tables_number 12
_symmetry_space_group_name_Hall '-C 2y'
_cell_length_a 6.873
_cell_length_b 3.969
_cell_length_c 10.305
_cell_angle_alpha 90.00
_cell_angle_beta 102.67
_cell_angle_gamma 90.00
loop_
_atom_site_label
_atom_site_type_symbol
_atom_site_fract_x
_atom_site_fract_y
_atom_site_fract_z
Pb1 Pb 0.116 0.000 0.345
Cl1 Cl 0.110 0.500 0.834
O1 O 0.195 0.000 0.586
# **Formation energy without anion corrections**: -807 meV per atom
# **Spin magnetization**: 1.75 μB per cell